A geometry-optimized V2SnPdO structure. Source: the Alexandria database, functional PBE with a Hubbard U.

- Calculated volume: 27.80 Å³ per atom
- Total magnetic moment: 1.02 μB per atom
- Final energy: -21.6 eV/cell

abc: 5.342 5.342 4.871
angles: 90.00 90.00 90.00
Sites, in units of the cell vectors:
V1 0.000 0.500 0.000
V2 0.500 0.000 0.000
Sn1 0.000 0.000 0.000
Pd1 0.000 0.000 0.500
O1 0.500 0.500 0.500